Record 1
Computed, not measured: crystalline CaPm6Y2 at its relaxed geometry at the GGA-PBE level of DFT.

a b c (Å): 3.664 3.664 27.286
angles (deg): 90.00 90.00 120.00
Fractional coordinates of all 9 atoms:
Ca: 0.000 0.000 0.000
Pm: 0.000 0.000 0.223
Pm: 0.000 0.000 0.435
Pm: 0.000 0.000 0.565
Pm: 0.000 0.000 0.777
Pm: 0.667 0.333 0.117
Pm: 0.667 0.333 0.883
Y: 0.667 0.333 0.332
Y: 0.667 0.333 0.668

The calculation puts the formation energy at 0.06 eV per atom. The calculation puts the calculated density at 5.7 g/cm³. The calculated volume comes out at 317.31 Å³/f.u. As for the magnetization: 0.29 μB/f.u.

Record 2
Computed, not measured: crystalline CaPm5Y8 at its relaxed geometry at the GGA-PBE level of DFT.

a b c (Å): 8.569 8.569 8.569
angles (deg): 110.91 110.91 106.62
Fractional coordinates of all 14 atoms:
Ca: 0.000 0.000 0.000
Pm: 0.039 0.434 0.821
Pm: 0.250 0.750 0.500
Pm: 0.566 0.387 0.605
Pm: 0.613 0.217 0.179
Pm: 0.783 0.961 0.395
Y: 0.090 0.332 0.414
Y: 0.277 0.173 0.750
Y: 0.324 0.910 0.242
Y: 0.423 0.527 0.250
Y: 0.473 0.723 0.896
Y: 0.668 0.082 0.758
Y: 0.827 0.577 0.104
Y: 0.918 0.676 0.586

The calculation puts the formation energy at 0.22 eV per atom. The calculation puts the calculated density at 5.1 g/cm³. The calculated volume comes out at 483.53 Å³/f.u. As for the magnetization: 0.00 μB/f.u.

Record 3
Computed, not measured: crystalline Ca2PmY at its relaxed geometry at the GGA-PBE level of DFT.

a b c (Å): 13.411 13.411 13.411
angles (deg): 15.44 15.44 15.44
Fractional coordinates of all 4 atoms:
Ca: 0.089 0.089 0.089
Ca: 0.911 0.911 0.911
Pm: 0.000 0.000 0.000
Y: 0.500 0.500 0.500

The calculation puts the formation energy at 0.22 eV per atom. The energy above the most stable polymorph in this dataset comes out at 115.7 meV per atom. The calculation puts the calculated density at 3.5 g/cm³. The calculated volume comes out at 148.87 Å³/f.u. As for the magnetization: 0.75 μB/f.u.

Record 4
Computed, not measured: crystalline CaPm5Y12 at its relaxed geometry at the GGA-PBE level of DFT.

a b c (Å): 10.826 10.826 6.250
angles (deg): 106.61 106.61 60.03
Fractional coordinates of all 18 atoms:
Ca: 0.000 0.000 0.000
Pm: 0.169 0.169 0.510
Pm: 0.333 0.333 0.002
Pm: 0.500 0.500 0.500
Pm: 0.667 0.667 0.998
Pm: 0.831 0.831 0.490
Y: 0.000 0.337 0.000
Y: 0.000 0.663 0.000
Y: 0.166 0.501 0.501
Y: 0.171 0.829 0.500
Y: 0.337 0.000 0.000
Y: 0.337 0.663 0.000
Y: 0.499 0.834 0.499
Y: 0.501 0.166 0.501
Y: 0.663 0.000 0.000
Y: 0.663 0.337 0.000
Y: 0.829 0.171 0.500
Y: 0.834 0.499 0.499

The calculation puts the formation energy at 0.03 eV per atom. The calculation puts the calculated density at 5.1 g/cm³. The calculated volume comes out at 598.91 Å³/f.u. As for the magnetization: 0.00 μB/f.u.

Record 5
Computed, not measured: crystalline CaPm12Y3 at its relaxed geometry at the GGA-PBE level of DFT.

a b c (Å): 5.159 5.159 20.608
angles (deg): 90.00 90.00 90.00
Fractional coordinates of all 16 atoms:
Ca: 0.000 0.000 0.000
Pm: 0.000 0.500 0.129
Pm: 0.000 0.500 0.376
Pm: 0.000 0.500 0.624
Pm: 0.000 0.500 0.871
Pm: 0.500 0.000 0.129
Pm: 0.500 0.000 0.376
Pm: 0.500 0.000 0.624
Pm: 0.500 0.000 0.871
Pm: 0.500 0.500 0.000
Pm: 0.500 0.500 0.251
Pm: 0.500 0.500 0.500
Pm: 0.500 0.500 0.749
Y: 0.000 0.000 0.251
Y: 0.000 0.000 0.500
Y: 0.000 0.000 0.749

The calculation puts the formation energy at 0.03 eV per atom. The calculation puts the calculated density at 6.2 g/cm³. The calculated volume comes out at 548.46 Å³/f.u. As for the magnetization: 0.00 μB/f.u.

Record 6
Computed, not measured: crystalline CaPm8Y6 at its relaxed geometry at the GGA-PBE level of DFT.

a b c (Å): 8.303 8.303 8.303
angles (deg): 72.13 72.13 72.13
Fractional coordinates of all 15 atoms:
Ca: 0.000 0.000 0.000
Pm: 0.051 0.863 0.381
Pm: 0.137 0.619 0.949
Pm: 0.237 0.237 0.237
Pm: 0.381 0.051 0.863
Pm: 0.619 0.949 0.137
Pm: 0.763 0.763 0.763
Pm: 0.863 0.381 0.051
Pm: 0.949 0.137 0.619
Y: 0.175 0.433 0.619
Y: 0.381 0.825 0.567
Y: 0.433 0.619 0.175
Y: 0.567 0.381 0.825
Y: 0.619 0.175 0.433
Y: 0.825 0.567 0.381

The calculation puts the formation energy at 0.17 eV per atom. The calculation puts the calculated density at 5.7 g/cm³. The calculated volume comes out at 504.10 Å³/f.u. As for the magnetization: 0.00 μB/f.u.

Record 7
Computed, not measured: crystalline CaPm7Y3 at its relaxed geometry at the GGA-PBE level of DFT.

a b c (Å): 7.227 7.227 8.782
angles (deg): 90.00 90.00 120.00
Fractional coordinates of all 11 atoms:
Ca: 0.000 0.000 0.000
Pm: 0.004 0.502 0.993
Pm: 0.333 0.667 0.320
Pm: 0.337 0.169 0.337
Pm: 0.498 0.502 0.993
Pm: 0.498 0.996 0.993
Pm: 0.831 0.169 0.337
Pm: 0.831 0.663 0.337
Y: 0.169 0.338 0.658
Y: 0.169 0.831 0.658
Y: 0.662 0.831 0.658

The calculation puts the formation energy at 0.21 eV per atom. The energy above the most stable polymorph in this dataset comes out at 0.0 meV per atom. The calculation puts the calculated density at 5.5 g/cm³. The calculated volume comes out at 397.25 Å³/f.u. As for the magnetization: 0.00 μB/f.u.

Record 8
Computed, not measured: crystalline CaPm2Y at its relaxed geometry at the GGA-PBE level of DFT.

a b c (Å): 12.351 12.351 12.351
angles (deg): 17.02 17.02 17.02
Fractional coordinates of all 4 atoms:
Ca: 0.000 0.000 0.000
Pm: 0.246 0.246 0.246
Pm: 0.421 0.421 0.421
Y: 0.834 0.834 0.834

The calculation puts the formation energy at 0.04 eV per atom. The energy above the most stable polymorph in this dataset comes out at 2.8 meV per atom. The calculation puts the calculated density at 4.9 g/cm³. The calculated volume comes out at 140.87 Å³/f.u. As for the magnetization: 0.00 μB/f.u.

Record 9
Computed, not measured: crystalline CaPm6Y12 at its relaxed geometry at the GGA-PBE level of DFT.

a b c (Å): 9.557 9.557 9.557
angles (deg): 110.91 110.91 110.91
Fractional coordinates of all 19 atoms:
Ca: 0.000 0.000 0.000
Pm: 0.050 0.364 0.575
Pm: 0.364 0.575 0.050
Pm: 0.425 0.950 0.636
Pm: 0.575 0.050 0.364
Pm: 0.636 0.425 0.950
Pm: 0.950 0.636 0.425
Y: 0.107 0.734 0.161
Y: 0.161 0.107 0.734
Y: 0.214 0.480 0.320
Y: 0.266 0.839 0.893
Y: 0.320 0.214 0.480
Y: 0.480 0.320 0.214
Y: 0.520 0.680 0.786
Y: 0.680 0.786 0.520
Y: 0.734 0.161 0.107
Y: 0.786 0.520 0.680
Y: 0.839 0.893 0.266
Y: 0.893 0.266 0.839

The calculation puts the formation energy at 0.03 eV per atom. The calculation puts the calculated density at 5.2 g/cm³. The calculated volume comes out at 633.62 Å³/f.u. As for the magnetization: 0.00 μB/f.u.

Record 10
Computed, not measured: crystalline CaPm2Y7 at its relaxed geometry at the GGA-PBE level of DFT.

a b c (Å): 6.246 6.259 9.558
angles (deg): 71.13 71.14 80.48
Fractional coordinates of all 10 atoms:
Ca: 0.000 0.000 0.000
Pm: 0.493 0.101 0.303
Pm: 0.507 0.899 0.697
Y: 0.000 0.203 0.595
Y: 0.000 0.797 0.405
Y: 0.001 0.395 0.205
Y: 0.499 0.311 0.897
Y: 0.500 0.500 0.500
Y: 0.501 0.689 0.103
Y: 0.999 0.605 0.795

The calculation puts the formation energy at 0.05 eV per atom. The calculation puts the calculated density at 4.7 g/cm³. The calculated volume comes out at 333.82 Å³/f.u. As for the magnetization: 0.00 μB/f.u.

Record 11
Computed, not measured: crystalline Ca2Pm5Y at its relaxed geometry at the GGA-PBE level of DFT.

a b c (Å): 11.207 11.207 11.207
angles (deg): 153.23 153.23 38.22
Fractional coordinates of all 8 atoms:
Ca: 0.250 0.250 0.000
Ca: 0.750 0.750 0.000
Pm: 0.000 0.000 0.000
Pm: 0.118 0.618 0.500
Pm: 0.382 0.882 0.500
Pm: 0.618 0.118 0.500
Pm: 0.882 0.382 0.500
Y: 0.500 0.500 0.000

The calculation puts the formation energy at 0.05 eV per atom. The calculation puts the calculated density at 5.2 g/cm³. The calculated volume comes out at 285.05 Å³/f.u. As for the magnetization: 0.00 μB/f.u.